Record 1
An optimized crystal structure of KCd2AgGe, computed with PBE.

a = 5.2785 Å, b = 5.2785 Å, c = 5.7967 Å
α = 90.00°, β = 90.00°, γ = 90.00°
Element x y z (fractional)
K1 0.0000 0.0000 0.0000
Cd1 0.0000 0.5000 0.5000
Cd2 0.5000 0.0000 0.5000
Ag1 0.0000 0.0000 0.5000
Ge1 0.5000 0.5000 0.0000

Formation energy, eV per atom: 0.47
DOS(E_F), states/eV per cell: 3.93
SG: P4/mmm, No. 123
Magnetization, μB/atom: 0.000

=====

Record 2
An optimized crystal structure of Sc2MnBePd, computed with PBE.

a = 4.7303 Å, b = 4.7303 Å, c = 4.4996 Å
α = 90.00°, β = 90.00°, γ = 90.00°
Element x y z (fractional)
Sc1 0.0000 0.5000 0.0000
Sc2 0.5000 0.0000 0.0000
Mn1 0.0000 0.0000 0.0000
Be1 0.5000 0.5000 0.5000
Pd1 0.0000 0.0000 0.5000

Formation energy, eV per atom: 0.59
DOS(E_F), states/eV per cell: 5.16
SG: P4/mmm, No. 123
Magnetization, μB/atom: 0.074

=====

Record 3
An optimized crystal structure of KLiLa2, computed with PBE.

a = 6.9184 Å, b = 6.9184 Å, c = 6.3346 Å
α = 100.60°, β = 100.60°, γ = 29.75°
Element x y z (fractional)
K1 0.0000 0.0000 0.0000
Li1 0.5000 0.5000 0.5000
La1 0.2365 0.2365 0.7169
La2 0.7635 0.7635 0.2831

Formation energy, eV per atom: 0.27
DOS(E_F), states/eV per cell: 4.27
SG: C2/m, No. 12
Magnetization, μB/atom: 0.000
Distance to the lowest polymorph of the same formula, eV per formula unit: 0.43

=====

Record 4
An optimized crystal structure of Tb4ThHg5, computed with PBE.

a = 3.7272 Å, b = 3.7272 Å, c = 19.0093 Å
α = 90.00°, β = 90.00°, γ = 90.00°
Element x y z (fractional)
Tb1 0.0000 0.0000 0.0987
Tb2 0.0000 0.0000 0.2954
Tb3 0.0000 0.0000 0.7046
Tb4 0.0000 0.0000 0.9013
Th1 0.0000 0.0000 0.5000
Hg1 0.5000 0.5000 0.0000
Hg2 0.5000 0.5000 0.1977
Hg3 0.5000 0.5000 0.3904
Hg4 0.5000 0.5000 0.6096
Hg5 0.5000 0.5000 0.8023

Formation energy, eV per atom: -0.42
DOS(E_F), states/eV per cell: 12.24
SG: P4/mmm, No. 123
Magnetization, μB/atom: 0.068

=====

Record 5
An optimized crystal structure of Er6TeAs3Se2, computed with PBE.

a = 9.2224 Å, b = 9.2224 Å, c = 8.2650 Å
α = 103.58°, β = 103.58°, γ = 25.67°
Element x y z (fractional)
Er1 0.0020 0.0020 0.2293
Er2 0.3249 0.3249 0.4219
Er3 0.3358 0.3358 0.9093
Er4 0.6642 0.6642 0.0907
Er5 0.6751 0.6751 0.5781
Er6 0.9980 0.9980 0.7707
Te1 0.5000 0.5000 0.5000
As1 0.1647 0.1647 0.3317
As2 0.5000 0.5000 0.0000
As3 0.8353 0.8353 0.6683
Se1 0.1676 0.1676 0.8338
Se2 0.8324 0.8324 0.1662

DOS(E_F), states/eV per cell: 4.41
SG: C2/m, No. 12
Magnetization, μB/atom: 0.000
E_form (uncorrected), eV per formula unit: -19.06

=====

Record 6
An optimized crystal structure of Co2HgRu, computed with PBE.

a = 4.3546 Å, b = 4.3546 Å, c = 4.3546 Å
α = 60.00°, β = 60.00°, γ = 60.00°
Element x y z (fractional)
Co1 0.0000 0.0000 0.0000
Co2 0.2500 0.2500 0.2500
Hg1 0.7500 0.7500 0.7500
Ru1 0.5000 0.5000 0.5000

Formation energy, eV per atom: 0.58
DOS(E_F), states/eV per cell: 5.28
SG: F-43m, No. 216
Magnetization, μB/atom: 1.217

=====

Record 7
An optimized crystal structure of Mg2CdRh2, computed with PBE.

a = 6.6968 Å, b = 6.6968 Å, c = 6.6968 Å
α = 146.26°, β = 146.26°, γ = 48.46°
Element x y z (fractional)
Mg1 0.2500 0.7500 0.5000
Mg2 0.7500 0.2500 0.5000
Cd1 0.0000 0.0000 0.0000
Rh1 0.3953 0.3953 0.0000
Rh2 0.6047 0.6047 0.0000

Formation energy, eV per atom: 0.02
DOS(E_F), states/eV per cell: 3.19
SG: I4/mmm, No. 139
Magnetization, μB/atom: 0.000

=====

Record 8
An optimized crystal structure of Pm2PrSn3, computed with PBE.

a = 8.7014 Å, b = 8.7014 Å, c = 5.8780 Å
α = 103.90°, β = 103.90°, γ = 114.34°
Element x y z (fractional)
Pm1 0.0836 0.9164 0.7500
Pm2 0.2510 0.7490 0.2500
Pm3 0.7490 0.2510 0.7500
Pm4 0.9164 0.0836 0.2500
Pr1 0.4174 0.5826 0.7500
Pr2 0.5826 0.4174 0.2500
Sn1 0.0000 0.5000 0.5000
Sn2 0.1622 0.3314 0.0010
Sn3 0.3314 0.1622 0.5010
Sn4 0.5000 0.0000 0.0000
Sn5 0.6686 0.8378 0.4990
Sn6 0.8378 0.6686 0.9990

Formation energy, eV per atom: -0.64
DOS(E_F), states/eV per cell: 10.18
SG: C2/c, No. 15
Magnetization, μB/atom: 0.000